No. 1
# Zr2Al3Cr | Alexandria via LeMat-Bulk | GGA-PBEsol | optimized geometry
data_Zr2Al3Cr
_chemical_formula_sum 'Zr6 Al9 Cr3'
_symmetry_space_group_name_H-M 'R -3 m'
_symmetry_Int_Tables_number 166
_symmetry_space_group_name_Hall '-R 3 2"'
_cell_length_a 5.2454
_cell_length_b 5.2454
_cell_length_c 12.7444
_cell_angle_alpha 90.00
_cell_angle_beta 90.00
_cell_angle_gamma 120.00
loop_
_atom_site_label
_atom_site_type_symbol
_atom_site_fract_x
_atom_site_fract_y
_atom_site_fract_z
_atom_site_occupancy
Zr1 Zr 0.0000 0.0000 0.1286 1
Al1 Al 0.0000 0.5000 0.0000 1
Cr1 Cr 0.0000 0.0000 0.5000 1
# * D(E_F): 1.13 states/eV per atom
# * electronic total energy: -7.13 eV per atom
# * mass density: 5.174 Mg/m³
# * magnetization: 1.615 μB per formula unit
# * calculated formation energy: -349 meV/atom

No. 2
# Ba2ScCrPd | Alexandria via LeMat-Bulk | GGA-PBEsol | optimized geometry
data_Ba2ScCrPd
_chemical_formula_sum 'Ba2 Sc1 Cr1 Pd1'
_symmetry_space_group_name_H-M 'P 4/m m m'
_symmetry_Int_Tables_number 123
_symmetry_space_group_name_Hall '-P 4 2'
_cell_length_a 6.0768
_cell_length_b 6.0768
_cell_length_c 4.3025
_cell_angle_alpha 90.00
_cell_angle_beta 90.00
_cell_angle_gamma 90.00
loop_
_atom_site_label
_atom_site_type_symbol
_atom_site_fract_x
_atom_site_fract_y
_atom_site_fract_z
_atom_site_occupancy
Ba1 Ba 0.0000 0.5000 0.0000 1
Sc1 Sc 0.0000 0.0000 0.0000 1
Cr1 Cr 0.0000 0.0000 0.5000 1
Pd1 Pd 0.5000 0.5000 0.5000 1
# * D(E_F): 0.93 states/eV per atom
# * electronic total energy: -4.37 eV per atom
# * mass density: 4.996 Mg/m³
# * magnetization: 1.804 μB per formula unit
# * calculated formation energy: 1052 meV/atom

No. 3
# AsOs2Rh | Alexandria via LeMat-Bulk | GGA-PBEsol | optimized geometry
data_AsOs2Rh
_chemical_formula_sum 'As1 Os2 Rh1'
_symmetry_space_group_name_H-M 'P 4/m m m'
_symmetry_Int_Tables_number 123
_symmetry_space_group_name_Hall '-P 4 2'
_cell_length_a 2.9013
_cell_length_b 2.9013
_cell_length_c 6.6535
_cell_angle_alpha 90.00
_cell_angle_beta 90.00
_cell_angle_gamma 90.00
loop_
_atom_site_label
_atom_site_type_symbol
_atom_site_fract_x
_atom_site_fract_y
_atom_site_fract_z
_atom_site_occupancy
As1 As 0.0000 0.0000 0.0000 1
Os1 Os 0.5000 0.5000 0.2260 1
Rh1 Rh 0.0000 0.0000 0.5000 1
# * D(E_F): 1.06 states/eV per atom
# * electronic total energy: -9.02 eV per atom
# * mass density: 16.552 Mg/m³
# * magnetization: 0.000 μB per formula unit
# * calculated formation energy: 395 meV/atom

No. 4
# CrMo2Pb | Alexandria via LeMat-Bulk | GGA-PBEsol | optimized geometry
data_CrMo2Pb
_chemical_formula_sum 'Cr4 Mo8 Pb4'
_symmetry_space_group_name_H-M 'F -4 3 m'
_symmetry_Int_Tables_number 216
_symmetry_space_group_name_Hall 'F -4 2 3'
_cell_length_a 6.3787
_cell_length_b 6.3787
_cell_length_c 6.3787
_cell_angle_alpha 90.00
_cell_angle_beta 90.00
_cell_angle_gamma 90.00
loop_
_atom_site_label
_atom_site_type_symbol
_atom_site_fract_x
_atom_site_fract_y
_atom_site_fract_z
_atom_site_occupancy
Cr1 Cr 0.0000 0.0000 0.0000 1
Mo1 Mo 0.0000 0.0000 0.5000 1
Mo2 Mo 0.2500 0.2500 0.7500 1
Pb1 Pb 0.2500 0.2500 0.2500 1
# * D(E_F): 0.75 states/eV per atom
# * electronic total energy: -8.80 eV per atom
# * mass density: 11.544 Mg/m³
# * magnetization: 2.055 μB per formula unit
# * calculated formation energy: 641 meV/atom